[1]
LiHfPbAu PBE-GGA relaxed; SG = F-43m; formation enthalpy at 0 K = -97 kJ/mol of formula units; volume = 81.2 Å³ per cell; spin magnetization = 0.0 μB per formula unit; E_tot = -4.966 eV per atom
1.0
-2.800 2.379 3.184
-4.409 1.556 -1.329
-3.977 -2.132 1.807
Au Hf Pb Li
1 1 1 1
direct
0.000 0.000 0.000
0.250 0.250 0.250
0.500 0.500 0.500
0.750 0.750 0.750

---

[2]
LiHfPdAu PBE-GGA relaxed; SG = F-43m; formation enthalpy at 0 K = -220 kJ/mol of formula units; volume = 68.1 Å³ per cell; spin magnetization = 0.0 μB per formula unit; excess energy over the best structure of this formula in the dataset = 0 meV/atom; E_tot = -5.653 eV per atom
1.0
-0.822 -1.388 4.291
0.672 -4.384 1.159
3.488 -1.135 2.750
Pd Li Au Hf
1 1 1 1
direct
0.500 0.500 0.500
0.250 0.250 0.250
0.000 0.000 0.000
0.750 0.750 0.750

---

[3]
LiHfPdAu PBE-GGA relaxed; SG = P4mm; formation enthalpy at 0 K = -215 kJ/mol of formula units; volume = 68.1 Å³ per cell; spin magnetization = 0.0 μB per formula unit; excess energy over the best structure of this formula in the dataset = 11 meV/atom; E_tot = -5.642 eV per atom
1.0
3.326 0.000 0.000
0.000 3.326 0.000
0.000 0.000 6.158
Hf Au Li Pd
1 1 1 1
direct
0.000 0.000 0.847
0.500 0.500 0.123
0.000 0.000 0.356
0.500 0.500 0.602

---

Copy entry 2 word for word.
LiHfPdAu PBE-GGA relaxed; SG = F-43m; formation enthalpy at 0 K = -220 kJ/mol of formula units; volume = 68.1 Å³ per cell; spin magnetization = 0.0 μB per formula unit; excess energy over the best structure of this formula in the dataset = 0 meV/atom; E_tot = -5.653 eV per atom
1.0
-0.822 -1.388 4.291
0.672 -4.384 1.159
3.488 -1.135 2.750
Pd Li Au Hf
1 1 1 1
direct
0.500 0.500 0.500
0.250 0.250 0.250
0.000 0.000 0.000
0.750 0.750 0.750

---

Which value of E_tot does entry 3 give? -5.642 eV per atom

---

What is the formula in the first record? LiHfPbAu